# 1
Density functional theory data (GGA-PBE) for an optimized crystal structure of RbHg3Pb3.

Calculated values
The density of states at the Fermi level is 3.37 states/eV/f.u. The value obtained for the energy relative to the lowest polymorph listed for this composition is 0.000 eV per atom.

Cell lengths 9.729, 9.729, 5.567 Å; angles 90.00, 90.00, 120.00 degrees
Sites, in units of the cell vectors:
Rb 0.333 0.667 0.250
Rb 0.667 0.333 0.750
Hg 0.084 0.477 0.750
Hg 0.393 0.916 0.750
Hg 0.477 0.393 0.250
Hg 0.523 0.607 0.750
Hg 0.607 0.084 0.250
Hg 0.916 0.523 0.250
Pb 0.020 0.802 0.750
Pb 0.198 0.218 0.750
Pb 0.218 0.020 0.250
Pb 0.782 0.980 0.750
Pb 0.802 0.782 0.250
Pb 0.980 0.198 0.250

---

# 2
Density functional theory data (GGA-PBE) for an optimized crystal structure of BaSmGa2Pt2.

Calculated values
The density of states at the Fermi level is 2.44 states/eV/f.u. For the total DFT energy (no corrections), the calculation gives -30.3 eV per cell.

Cell lengths 4.497, 4.497, 8.288 Å; angles 90.00, 90.00, 120.00 degrees
Sites, in units of the cell vectors:
Ba 0.000 0.000 0.000
Sm 0.000 0.000 0.500
Ga 0.333 0.667 0.711
Ga 0.667 0.333 0.289
Pt 0.333 0.667 0.299
Pt 0.667 0.333 0.701

---

# 3
Density functional theory data (GGA-PBE) for an optimized crystal structure of CdFe3Ag.

Calculated values
The density of states at the Fermi level is 9.32 states/eV/f.u. The value obtained for the energy relative to the lowest polymorph listed for this composition is 0.000 eV per atom.

Cell lengths 4.722, 4.722, 4.722 Å; angles 90.00, 90.00, 90.00 degrees
Sites, in units of the cell vectors:
Cd 0.000 0.000 0.000
Fe 0.000 0.500 0.500
Fe 0.500 0.000 0.500
Fe 0.500 0.500 0.000
Ag 0.500 0.500 0.500

---

# 4
Density functional theory data (GGA-PBE) for an optimized crystal structure of Pr12Nd7In.

Calculated values
The density of states at the Fermi level is 29.99 states/eV/f.u. For the total DFT energy (no corrections), the calculation gives -92.7 eV per cell.

Cell lengths 9.010, 9.010, 9.010 Å; angles 99.65, 99.65, 99.65 degrees
Sites, in units of the cell vectors:
Pr 0.000 0.254 0.746
Pr 0.000 0.746 0.254
Pr 0.162 0.591 0.591
Pr 0.254 0.000 0.746
Pr 0.254 0.746 0.000
Pr 0.409 0.409 0.838
Pr 0.409 0.838 0.409
Pr 0.591 0.162 0.591
Pr 0.591 0.591 0.162
Pr 0.746 0.000 0.254
Pr 0.746 0.254 0.000
Pr 0.838 0.409 0.409
Nd 0.142 0.142 0.409
Nd 0.142 0.409 0.142
Nd 0.409 0.142 0.142
Nd 0.500 0.500 0.500
Nd 0.591 0.858 0.858
Nd 0.858 0.591 0.858
Nd 0.858 0.858 0.591
In 0.000 0.000 0.000

---

# 5
Density functional theory data (GGA-PBE) for an optimized crystal structure of LiCaMg2Rh.

Calculated values
The density of states at the Fermi level is 1.65 states/eV/f.u. The value obtained for the energy relative to the lowest polymorph listed for this composition is 0.000 eV per atom.

Cell lengths 4.979, 4.979, 4.847 Å; angles 90.00, 90.00, 90.00 degrees
Sites, in units of the cell vectors:
Li 0.000 0.000 0.000
Ca 0.500 0.500 0.000
Mg 0.000 0.500 0.500
Mg 0.500 0.000 0.500
Rh 0.000 0.000 0.500

---

# 6
Density functional theory data (GGA-PBE) for an optimized crystal structure of ScBe.

Calculated values
The density of states at the Fermi level is 1.85 states/eV/f.u. For the total DFT energy (no corrections), the calculation gives -40.3 eV per cell.

Cell lengths 3.302, 10.284, 3.911 Å; angles 90.00, 90.00, 90.00 degrees
Sites, in units of the cell vectors:
Sc 0.000 0.149 0.250
Sc 0.000 0.851 0.750
Sc 0.500 0.351 0.750
Sc 0.500 0.649 0.250
Be 0.000 0.442 0.250
Be 0.000 0.558 0.750
Be 0.500 0.058 0.750
Be 0.500 0.942 0.250

---

# 7
Density functional theory data (GGA-PBE) for an optimized crystal structure of YNiAsBr2.

Calculated values
The density of states at the Fermi level is 1.57 states/eV/f.u. The value obtained for the energy relative to the lowest polymorph listed for this composition is 0.000 eV per atom.

Cell lengths 4.707, 4.707, 5.156 Å; angles 90.00, 90.00, 90.00 degrees
Sites, in units of the cell vectors:
Y 0.000 0.000 0.000
Ni 0.500 0.500 0.500
As 0.500 0.500 0.000
Br 0.000 0.500 0.500
Br 0.500 0.000 0.500

---

# 8
Density functional theory data (GGA-PBE) for an optimized crystal structure of YSnGe2Au.

Calculated values
The density of states at the Fermi level is 5.18 states/eV/f.u. For the total DFT energy (no corrections), the calculation gives -18.8 eV per cell.

Cell lengths 5.382, 5.382, 5.860 Å; angles 90.00, 90.00, 90.00 degrees
Sites, in units of the cell vectors:
Y 0.000 0.000 0.000
Sn 0.000 0.000 0.500
Ge 0.000 0.500 0.000
Ge 0.500 0.000 0.000
Au 0.500 0.500 0.500

---

# 9
Density functional theory data (GGA-PBE) for an optimized crystal structure of TlCoBi2.

Calculated values
The density of states at the Fermi level is 3.67 states/eV/f.u. The value obtained for the energy relative to the lowest polymorph listed for this composition is 0.183 eV per atom.

Cell lengths 6.629, 6.629, 12.187 Å; angles 90.00, 90.00, 90.00 degrees
Sites, in units of the cell vectors:
Tl 0.000 0.000 0.000
Tl 0.000 0.500 0.250
Tl 0.500 0.000 0.750
Tl 0.500 0.500 0.500
Co 0.000 0.000 0.500
Co 0.000 0.500 0.750
Co 0.500 0.000 0.250
Co 0.500 0.500 0.000
Bi 0.159 0.250 0.625
Bi 0.250 0.659 0.875
Bi 0.250 0.841 0.375
Bi 0.341 0.250 0.125
Bi 0.659 0.750 0.125
Bi 0.750 0.159 0.375
Bi 0.750 0.341 0.875
Bi 0.841 0.750 0.625

---

# 10
Density functional theory data (GGA-PBE) for an optimized crystal structure of SrZrMo4.

Calculated values
The density of states at the Fermi level is 6.57 states/eV/f.u. For the total DFT energy (no corrections), the calculation gives -51.1 eV per cell.

Cell lengths 5.506, 5.506, 5.506 Å; angles 60.00, 60.00, 60.00 degrees
Sites, in units of the cell vectors:
Sr 0.000 0.000 0.000
Zr 0.750 0.750 0.750
Mo 0.375 0.375 0.375
Mo 0.375 0.375 0.876
Mo 0.375 0.876 0.375
Mo 0.876 0.375 0.375

---

# 11
Density functional theory data (GGA-PBE) for an optimized crystal structure of CsZnCdO2.

Calculated values
The density of states at the Fermi level is 1.06 states/eV/f.u. For the total DFT energy (no corrections), the calculation gives -34.8 eV per cell.

Cell lengths 7.519, 7.519, 5.266 Å; angles 90.00, 90.00, 129.79 degrees
Sites, in units of the cell vectors:
Cs 0.250 0.750 0.752
Cs 0.750 0.250 0.248
Zn 0.000 0.000 0.500
Zn 0.500 0.500 0.500
Cd 0.250 0.250 0.000
Cd 0.750 0.750 0.000
O 0.092 0.908 0.236
O 0.408 0.592 0.236
O 0.592 0.408 0.764
O 0.908 0.092 0.764

---

# 12
Density functional theory data (GGA-PBE) for an optimized crystal structure of HoHfCdIr.

Calculated values
The density of states at the Fermi level is 4.36 states/eV/f.u. For the total DFT energy (no corrections), the calculation gives -103.5 eV per cell.

Cell lengths 6.916, 6.916, 6.916 Å; angles 90.00, 90.00, 90.00 degrees
Sites, in units of the cell vectors:
Ho 0.000 0.000 0.000
Ho 0.000 0.500 0.500
Ho 0.500 0.000 0.500
Ho 0.500 0.500 0.000
Hf 0.000 0.000 0.500
Hf 0.000 0.500 0.000
Hf 0.500 0.000 0.000
Hf 0.500 0.500 0.500
Cd 0.250 0.250 0.250
Cd 0.250 0.750 0.750
Cd 0.750 0.250 0.750
Cd 0.750 0.750 0.250
Ir 0.250 0.250 0.750
Ir 0.250 0.750 0.250
Ir 0.750 0.250 0.250
Ir 0.750 0.750 0.750

---

# 13
Density functional theory data (GGA-PBE) for an optimized crystal structure of KBa3Li.

Calculated values
The density of states at the Fermi level is 7.58 states/eV/f.u. The value obtained for the energy relative to the lowest polymorph listed for this composition is 0.000 eV per atom.

Cell lengths 6.867, 6.867, 6.867 Å; angles 90.00, 90.00, 90.00 degrees
Sites, in units of the cell vectors:
K 0.000 0.000 0.000
Ba 0.000 0.500 0.500
Ba 0.500 0.000 0.500
Ba 0.500 0.500 0.000
Li 0.500 0.500 0.500

---

# 14
Density functional theory data (GGA-PBE) for an optimized crystal structure of Cu4BrCl.

Calculated values
The density of states at the Fermi level is 3.45 states/eV/f.u. For the total DFT energy (no corrections), the calculation gives -17.7 eV per cell.

Cell lengths 5.144, 5.144, 5.144 Å; angles 60.00, 60.00, 60.00 degrees
Sites, in units of the cell vectors:
Cu 0.377 0.377 0.377
Cu 0.377 0.377 0.870
Cu 0.377 0.870 0.377
Cu 0.870 0.377 0.377
Br 0.000 0.000 0.000
Cl 0.750 0.750 0.750

---

# 15
Density functional theory data (GGA-PBE) for an optimized crystal structure of PmPS.

Calculated values
The density of states at the Fermi level is 0.04 states/eV/f.u. The value obtained for the energy relative to the lowest polymorph listed for this composition is 0.000 eV per atom.

Cell lengths 5.530, 5.474, 17.099 Å; angles 90.00, 90.00, 90.00 degrees
Sites, in units of the cell vectors:
Pm 0.016 0.250 0.138
Pm 0.016 0.750 0.353
Pm 0.484 0.250 0.853
Pm 0.484 0.750 0.638
Pm 0.516 0.250 0.362
Pm 0.516 0.750 0.147
Pm 0.984 0.250 0.647
Pm 0.984 0.750 0.862
P 0.199 0.042 0.503
P 0.199 0.458 0.503
P 0.301 0.542 0.003
P 0.301 0.958 0.003
P 0.699 0.042 0.997
P 0.699 0.458 0.997
P 0.801 0.542 0.497
P 0.801 0.958 0.497
S 0.012 0.750 0.183
S 0.015 0.250 0.311
S 0.485 0.750 0.811
S 0.488 0.250 0.683
S 0.512 0.750 0.317
S 0.515 0.250 0.189
S 0.985 0.750 0.689
S 0.988 0.250 0.817

---

# 16
Density functional theory data (GGA-PBE) for an optimized crystal structure of POsN2.

Calculated values
The density of states at the Fermi level is 0.57 states/eV/f.u. For the total DFT energy (no corrections), the calculation gives -32.1 eV per cell.

Cell lengths 4.297, 2.727, 4.512 Å; angles 90.00, 104.66, 90.00 degrees
Sites, in units of the cell vectors:
P 0.000 0.000 0.000
Os 0.268 0.500 0.704
N 0.109 0.000 0.378
N 0.729 0.500 0.909

---

# 17
Density functional theory data (GGA-PBE) for an optimized crystal structure of LiIn2FeAg.

Calculated values
The density of states at the Fermi level is 4.28 states/eV/f.u. For the total DFT energy (no corrections), the calculation gives -15.2 eV per cell.

Cell lengths 4.659, 4.659, 4.384 Å; angles 90.00, 90.00, 90.00 degrees
Sites, in units of the cell vectors:
Li 0.000 0.000 0.000
In 0.000 0.500 0.000
In 0.500 0.000 0.000
Fe 0.500 0.500 0.500
Ag 0.000 0.000 0.500

---

# 18
Density functional theory data (GGA-PBE) for an optimized crystal structure of ZrSbI2N.

Calculated values
The density of states at the Fermi level is 7.43 states/eV/f.u. The value obtained for the energy relative to the lowest polymorph listed for this composition is 1.051 eV per atom.

Cell lengths 5.580, 5.580, 5.800 Å; angles 90.00, 90.00, 90.00 degrees
Sites, in units of the cell vectors:
Zr 0.000 0.000 0.000
Sb 0.000 0.000 0.500
I 0.000 0.500 0.000
I 0.500 0.000 0.000
N 0.500 0.500 0.500

---

# 19
Density functional theory data (GGA-PBE) for an optimized crystal structure of Rb2NaHg.

Calculated values
The density of states at the Fermi level is 2.43 states/eV/f.u. For the total DFT energy (no corrections), the calculation gives -16.0 eV per cell.

Cell lengths 14.220, 5.962, 11.294 Å; angles 90.00, 123.71, 90.00 degrees
Sites, in units of the cell vectors:
Rb 0.000 0.000 0.000
Rb 0.000 0.000 0.498
Rb 0.118 0.500 0.335
Rb 0.385 0.000 0.664
Rb 0.500 0.500 0.000
Rb 0.500 0.500 0.498
Rb 0.618 0.000 0.335
Rb 0.885 0.500 0.664
Na 0.247 0.500 0.077
Na 0.251 0.000 0.918
Na 0.747 0.000 0.077
Na 0.751 0.500 0.918
Hg 0.193 0.500 0.739
Hg 0.308 0.000 0.257
Hg 0.693 0.000 0.739
Hg 0.808 0.500 0.257

---

# 20
Density functional theory data (GGA-PBE) for an optimized crystal structure of AlSnTeN2.

Calculated values
The density of states at the Fermi level is 2.22 states/eV/f.u. The value obtained for the energy relative to the lowest polymorph listed for this composition is 0.000 eV per atom.

Cell lengths 3.991, 3.991, 5.672 Å; angles 90.00, 90.00, 90.00 degrees
Sites, in units of the cell vectors:
Al 0.000 0.000 0.000
Sn 0.500 0.500 0.500
Te 0.000 0.000 0.500
N 0.000 0.500 0.000
N 0.500 0.000 0.000

---

Total magnetization readings, ordered: 0.00; 0.00; 9.17; 0.00; 0.00; 0.00; 0.00; 0.00; 0.00; 0.00; 0.00; 0.00; 0.00; 0.00; 0.00; 0.00; 3.21; 0.78; 0.00; 0.00 Bohr magnetons per cell